This record from Alexandria describes crystalline GaBI3 at its relaxed geometry. The functional is PBE.

## Properties
**Energy above the lowest structure with this stoichiometry**: 385 meV per atom
**Raw formation energy**: 85 kJ/mol of atoms
**SG**: Pm-3m (221)
**E_tot**: -1.99 eV/atom

Unit cell a=5.686 b=5.686 c=5.686 alpha=90.00 beta=90.00 gamma=90.00
Positions (direct):
Ga  0.000  0.000  0.000
B  0.500  0.500  0.500
I  0.000  0.000  0.500
I  0.000  0.500  0.000
I  0.500  0.000  0.000